The following is a PBE calculation of a relaxed structure of Th4ZnAu3, from the Alexandria database.

POSCAR file:
```
Th4ZnAu3
1.0
3.8146 0.0000 0.0000
0.0000 4.5376 0.0000
0.0000 0.0000 11.9737
Th Zn Au
4 1 3
Direct
0.0000 0.0000 0.0000
0.0000 0.5000 0.3037
0.5000 0.0000 0.4984
0.5000 0.5000 0.8038
0.5000 0.0000 0.2236
0.0000 0.0000 0.7270
0.0000 0.5000 0.5752
0.5000 0.5000 0.0864
```

N(E_F) = 1.04 states/eV per atom
symmetry = Pmm2 (25)
final energy = -5.6008 eV per atom
formation energy = -0.503 eV per atom